First-principles (GGA+U) data for a relaxed structure of NdCoAsO, as listed in Alexandria.

```
NdCoAsO
1.0
4.070 0.000 0.000
0.000 4.070 0.000
0.000 0.000 8.075
Nd Co As O
2 2 2 2
direct
0.250 0.250 0.146 Nd
0.750 0.750 0.854 Nd
0.250 0.750 0.500 Co
0.750 0.250 0.500 Co
0.250 0.250 0.636 As
0.750 0.750 0.364 As
0.250 0.750 0.000 O
0.750 0.250 0.000 O
```

Properties
Uncorrected energy, eV per cell: -51.58
M_tot, Bohr magnetons per cell: 1.3
Space group: P4/nmm